DFT (PBE with a Hubbard U) results for a relaxed structure of NiPdO2. Values from VASP.

```
&SYSTEM
  ibrav = 0, nat = 4, ntyp = 3
/
ATOMIC_SPECIES
O 16.00 O.upf
Ni 58.69 Ni.upf
Pd 106.42 Pd.upf
CELL_PARAMETERS angstrom
1.6764 0.0000 6.0022
-0.8382 1.4518 6.0022
-0.8382 -1.4518 6.0022
ATOMIC_POSITIONS crystal
O 0.1086 0.1086 0.1086
O 0.8914 0.8914 0.8914
Ni 0.5000 0.5000 0.5000
Pd 0.0000 0.0000 0.0000
```

Summary:
The value obtained for the total magnetization is 1.08 μB/cell. As for the total energy: -20.33 eV/f.u.